[1]
Below is BeCoRe after structural relaxation, with properties calculated at the PBE level.

SG: Pm
E in eV/atom: -7.823
Relative energy among the computed polymorphs in meV/atom: 203
M_tot in Bohr magnetons per cell: 0.000
Energy relative to the elements in eV per atom: -0.0632

Cell lengths 2.604, 6.333, 4.172 Å; angles 76.55, 90.00, 90.00 degrees
Fractional positions:
Be  0.111  0.473  0.947
Be  0.611  0.745  0.672
Re  0.112  0.816  0.147
Re  0.112  0.094  0.542
Co  0.612  0.188  0.008
Co  0.612  0.455  0.442

[2]
Below is BeCo2Re after structural relaxation, with properties calculated at the PBE level.

SG: Cmmm
E in eV/atom: -7.547
M_tot in Bohr magnetons per cell: 0.001
Energy relative to the elements in eV per atom: 0.0499

Cell lengths 4.261, 4.261, 2.596 Å; angles 90.00, 90.00, 105.76 degrees
Fractional positions:
Re  0.500  0.000  0.500
Co  0.000  0.000  0.000
Co  0.500  0.500  0.000
Be  0.000  0.500  0.500

[3]
Below is BeCoRe after structural relaxation, with properties calculated at the PBE level.

SG: P-6m2
E in eV/atom: -7.839
Relative energy among the computed polymorphs in meV/atom: 187
M_tot in Bohr magnetons per cell: 0.000
Energy relative to the elements in eV per atom: -0.0787

Cell lengths 3.865, 3.865, 2.584 Å; angles 90.00, 90.00, 120.00 degrees
Fractional positions:
Re  0.333  0.667  0.667
Co  0.667  0.333  0.167
Be  0.000  0.000  0.167

[4]
Below is BeCoRe after structural relaxation, with properties calculated at the PBE level.

SG: P6_3/mmc
E in eV/atom: -7.779
Relative energy among the computed polymorphs in meV/atom: 247
M_tot in Bohr magnetons per cell: 0.000
Energy relative to the elements in eV per atom: -0.0191

Cell lengths 6.890, 4.935, 3.978 Å; angles 90.00, 90.00, 90.00 degrees
Fractional positions:
Be  0.667  0.250  0.000
Be  0.167  0.250  0.500
Be  0.833  0.750  0.500
Be  0.333  0.750  0.000
Re  0.500  0.500  0.500
Re  0.500  0.000  0.500
Re  0.000  0.000  0.000
Re  0.000  0.500  0.000
Co  0.833  0.250  0.500
Co  0.667  0.750  0.000
Co  0.167  0.750  0.500
Co  0.333  0.250  0.000

energy relative to the elements of number 3 (BeCoRe)? -0.0787 eV per atom

What is the formula in the fourth record? BeCoRe